# SrCr3Au | Alexandria via LeMat-Bulk | PBE-GGA | optimized geometry
data_SrCr3Au
_cell_length_a 4.4513
_cell_length_b 4.4513
_cell_length_c 4.4513
_cell_angle_alpha 90.00
_cell_angle_beta 90.00
_cell_angle_gamma 90.00
_space_group_name_H-M_alt 'P m -3 m'
_space_group_IT_number 221
_space_group_name_Hall '-P 4 2 3'
loop_
_atom_site_label
_atom_site_type_symbol
_atom_site_fract_x
_atom_site_fract_y
_atom_site_fract_z
Sr1 Sr 0.0000 0.0000 0.0000
Cr1 Cr 0.0000 0.0000 0.5000
Au1 Au 0.5000 0.5000 0.5000
# * size of the total moment: 0.0 μB/cell
# * energy of formation: 2.746 eV/atom
# * DOS at the Fermi energy: 2.21 states/eV per atom

***

# SrCrAu2 | Alexandria via LeMat-Bulk | PBE-GGA | optimized geometry
data_SrCrAu2
_cell_length_a 4.3255
_cell_length_b 4.3255
_cell_length_c 9.4467
_cell_angle_alpha 90.00
_cell_angle_beta 90.00
_cell_angle_gamma 90.00
_space_group_name_H-M_alt 'I -4 m 2'
_space_group_IT_number 119
_space_group_name_Hall 'I -4 -2'
loop_
_atom_site_label
_atom_site_type_symbol
_atom_site_fract_x
_atom_site_fract_y
_atom_site_fract_z
Sr1 Sr 0.0000 0.0000 0.0000
Cr1 Cr 0.0000 0.5000 0.2500
Au1 Au 0.0000 0.0000 0.5000
Au2 Au 0.0000 0.5000 0.7500
# * size of the total moment: 9.1 μB/cell
# * energy of formation: -0.060 eV/atom
# * DOS at the Fermi energy: 0.33 states/eV per atom

***

# SrCr2Au | Alexandria via LeMat-Bulk | PBE-GGA | optimized geometry
data_SrCr2Au
_cell_length_a 4.4204
_cell_length_b 4.4204
_cell_length_c 17.0005
_cell_angle_alpha 90.00
_cell_angle_beta 90.00
_cell_angle_gamma 120.00
_space_group_name_H-M_alt 'R -3 m'
_space_group_IT_number 166
_space_group_name_Hall '-R 3 2"'
loop_
_atom_site_label
_atom_site_type_symbol
_atom_site_fract_x
_atom_site_fract_y
_atom_site_fract_z
Sr1 Sr 0.0000 0.0000 0.0000
Cr1 Cr 0.0000 0.0000 0.2025
Au1 Au 0.0000 0.0000 0.5000
# * size of the total moment: 24.8 μB/cell
# * energy of formation: 0.470 eV/atom
# * DOS at the Fermi energy: 0.97 states/eV per atom

***

# SrCrAu2 | Alexandria via LeMat-Bulk | PBE-GGA | optimized geometry
data_SrCrAu2
_cell_length_a 3.8780
_cell_length_b 3.8780
_cell_length_c 6.3437
_cell_angle_alpha 90.00
_cell_angle_beta 90.00
_cell_angle_gamma 90.00
_space_group_name_H-M_alt 'P 4 m m'
_space_group_IT_number 99
loop_
_space_group_symop_operation_xyz
'x,y,z'
'-y,x,z'
'-x,-y,z'
'y,-x,z'
'-x,y,z'
'y,x,z'
'x,-y,z'
'-y,-x,z'
loop_
_atom_site_label
_atom_site_type_symbol
_atom_site_fract_x
_atom_site_fract_y
_atom_site_fract_z
Sr1 Sr 0.0000 0.0000 0.0000
Cr1 Cr 0.5000 0.5000 0.6427
Au1 Au 0.0000 0.0000 0.5185
Au2 Au 0.5000 0.5000 0.2247
# * size of the total moment: 4.5 μB/cell
# * energy of formation: -0.029 eV/atom
# * DOS at the Fermi energy: 0.84 states/eV per atom